MgCd3Si | PBE | relaxed

The structure in POSCAR format:
```
MgCd3Si
1.0
5.229 0.000 0.000
0.000 5.229 0.000
0.000 0.000 5.229
Cd Si Mg
3 1 1
direct
0.500 0.000 0.000 Cd
0.000 0.000 0.500 Cd
0.000 0.500 0.000 Cd
0.500 0.500 0.500 Si
0.000 0.000 0.000 Mg
```

## Properties
- Final energy: -1.12 eV per atom
- M_tot: 0.000 μB/atom
- Raw formation energy: 0.828 eV per atom



Mg2CdSi | PBE | relaxed

The structure in POSCAR format:
```
Mg2CdSi
1.0
-2.061 -10.616 2.040
-0.996 -9.889 4.724
-3.873 -9.451 4.096
Mg Si Cd
2 1 1
direct
0.998 0.998 0.998 Mg
0.246 0.246 0.246 Mg
0.504 0.504 0.504 Si
0.752 0.752 0.752 Cd
```

## Properties
- Final energy: -2.18 eV per atom
- M_tot: 0.000 μB/atom
- Raw formation energy: 0.198 eV per atom



MgCd2Si | PBE | relaxed

The structure in POSCAR format:
```
MgCd2Si
1.0
-1.132 0.447 -2.897
-1.405 -2.800 0.245
-6.804 3.697 3.229
Mg Si Cd
1 1 2
direct
0.500 0.500 0.250 Mg
0.500 0.500 0.750 Si
0.000 0.000 0.511 Cd
0.000 0.000 0.989 Cd
```

## Properties
- Final energy: -2.01 eV per atom
- M_tot: 0.000 μB/atom
- Raw formation energy: 0.205 eV per atom



MgCdSi | PBE | relaxed

The structure in POSCAR format:
```
MgCdSi
1.0
5.301 -0.036 -0.033
2.832 4.481 0.033
-3.735 -2.829 2.480
Si Mg Cd
1 1 1
direct
0.672 0.672 0.000 Si
0.324 0.324 0.000 Mg
0.004 0.004 0.000 Cd
```

## Properties
- Final energy: -2.47 eV per atom
- M_tot: 0.000 μB/atom
- Raw formation energy: 0.178 eV per atom



MgCd2Si | PBE | relaxed

The structure in POSCAR format:
```
MgCd2Si
1.0
0.000 3.476 3.476
3.476 0.000 3.476
3.476 3.476 0.000
Cd Mg Si
2 1 1
direct
0.750 0.750 0.750 Cd
0.250 0.250 0.250 Cd
0.000 0.000 0.000 Mg
0.500 0.500 0.500 Si
```

## Properties
- Final energy: -1.98 eV per atom
- M_tot: 0.000 μB/atom
- Raw formation energy: 0.233 eV per atom



MgCd2Si | PBE | relaxed

The structure in POSCAR format:
```
MgCd2Si
1.0
-3.675 -2.205 -5.306
-4.881 -4.721 -0.636
2.694 5.657 2.695
Cd Si Mg
2 1 1
direct
0.948 0.948 0.000 Cd
0.552 0.552 0.000 Cd
0.750 0.250 0.500 Si
0.250 0.750 0.500 Mg
```

## Properties
- Final energy: -2.10 eV per atom
- M_tot: 0.000 μB/atom
- Raw formation energy: 0.113 eV per atom



Sm6MgCd | PBE | relaxed

The structure in POSCAR format:
```
Sm6MgCd
1.0
-6.303 6.147 1.802
-2.511 1.563 8.491
-0.394 5.060 3.712
Sm Mg Cd
6 1 1
direct
0.530 0.250 0.193 Sm
0.030 0.523 0.197 Sm
0.970 0.477 0.803 Sm
0.249 0.031 0.196 Sm
0.470 0.750 0.807 Sm
0.751 0.969 0.804 Sm
0.500 0.500 0.500 Mg
0.000 0.000 0.000 Cd
```

## Properties
- Final energy: -3.84 eV per atom
- M_tot: 0.000 μB/atom
- ΔE_f: 10 meV per atom



Sm2MgCd | PBE | relaxed

The structure in POSCAR format:
```
Sm2MgCd
1.0
-2.952 -1.253 -1.232
0.033 -2.708 -2.115
-1.777 -8.672 8.285
Sm Cd Mg
2 1 1
direct
0.092 0.092 0.724 Sm
0.908 0.908 0.276 Sm
0.000 0.000 0.000 Cd
0.500 0.500 0.500 Mg
```

## Properties
- Final energy: -2.82 eV per atom
- M_tot: 0.000 μB/atom
- ΔE_f: 163 meV per atom



Sm4Mg2Cd3 | PBE | relaxed

The structure in POSCAR format:
```
Sm4Mg2Cd3
1.0
-1.420 1.149 -4.686
-5.630 1.912 -0.525
-0.611 9.383 2.489
Sm Mg Cd
4 2 3
direct
0.654 0.692 0.892 Sm
0.956 0.087 0.654 Sm
0.044 0.913 0.346 Sm
0.346 0.308 0.108 Sm
0.293 0.416 0.736 Mg
0.707 0.584 0.264 Mg
0.000 0.000 0.000 Cd
0.645 0.711 0.560 Cd
0.355 0.289 0.440 Cd
```

## Properties
- Final energy: -2.94 eV per atom
- M_tot: 0.003 μB/atom
- ΔE_f: -184 meV per atom



SmMg4Cd2 | PBE | relaxed

The structure in POSCAR format:
```
SmMg4Cd2
1.0
-4.683 -0.521 0.288
-0.370 -1.293 -8.359
1.002 -8.314 1.242
Mg Sm Cd
8 2 4
direct
0.000 0.653 0.902 Mg
0.500 0.598 0.153 Mg
0.500 0.402 0.847 Mg
0.500 0.153 0.598 Mg
0.000 0.347 0.098 Mg
0.000 0.098 0.347 Mg
0.500 0.847 0.402 Mg
0.000 0.902 0.653 Mg
0.500 0.000 0.000 Sm
0.000 0.500 0.500 Sm
0.000 0.789 0.211 Cd
0.500 0.711 0.711 Cd
0.500 0.289 0.289 Cd
0.000 0.211 0.789 Cd
```

## Properties
- Final energy: -1.98 eV per atom
- M_tot: 0.000 μB/atom
- ΔE_f: -134 meV per atom



Sm8MgCd2 | PBE | relaxed

The structure in POSCAR format:
```
Sm8MgCd2
1.0
-1.630 -4.540 2.320
6.227 -3.279 -2.042
2.291 5.954 7.086
Sm Cd Mg
8 2 1
direct
0.812 0.718 0.623 Sm
0.188 0.282 0.377 Sm
0.025 0.760 0.050 Sm
0.668 0.960 0.335 Sm
0.408 0.535 0.816 Sm
0.975 0.240 0.950 Sm
0.332 0.040 0.665 Sm
0.592 0.465 0.184 Sm
0.812 0.298 0.624 Cd
0.188 0.702 0.376 Cd
0.500 0.000 0.000 Mg
```

## Properties
- Final energy: -3.81 eV per atom
- M_tot: 0.000 μB/atom
- ΔE_f: -67 meV per atom



Sm2Mg3Cd | PBE | relaxed

The structure in POSCAR format:
```
Sm2Mg3Cd
1.0
-2.171 2.132 -1.417
-3.633 -1.396 3.466
2.783 6.519 5.542
Sm Mg Cd
2 3 1
direct
0.000 0.500 0.006 Sm
0.000 0.000 0.494 Sm
0.500 0.000 0.832 Mg
0.500 0.500 0.667 Mg
0.500 0.000 0.166 Mg
0.500 0.500 0.335 Cd
```

## Properties
- Final energy: -2.68 eV per atom
- M_tot: 0.000 μB/atom
- ΔE_f: -159 meV per atom



M_tot of number 5 (MgCd2Si)?
0.000 μB/atom